Computed, not measured: KTlAgPb after structural relaxation at the GGA-PBE level of DFT.

a b c (Å): 7.7554 7.7554 7.7554
angles (deg): 90.00 90.00 90.00
With the nearest neighbours (Å) after each atom.
Space group F-43m (No. 216)
One atom of each set of equivalent atoms:
K 0.0000 0.0000 0.0000  4 Tl 3.36, 4 Ag 3.36
Tl 0.2500 0.2500 0.2500  4 Pb 3.36, 4 K 3.36
Ag 0.2500 0.2500 0.7500  4 Pb 3.36, 4 K 3.36
Pb 0.0000 0.0000 0.5000  4 Tl 3.36, 4 Ag 3.36

Computed properties:
The density of states at the Fermi level comes out at 0.9238 states/eV per atom. The value obtained for the total magnetic moment is 0.0 μB per cell. As for the energy of formation from the pure elements: 5 kJ per mole of atoms.